Be2PIr: optimized geometry, PBE-GGA.

N(E_F) ... 1.1 states/eV/f.u.
Size of the total moment ... 0.00 μB per cell
Space-group type ... No. 123
Formation enthalpy at 0 K ... -295.2 meV per atom
Crystal system ... tetragonal
VASP energy ... -5.726 eV per atom

Lattice parameters (Å, degrees): 2.975 2.975 4.859 90.00 90.00 90.00
Sites, in units of the cell vectors:
1 Be 0.000 0.000 0.238
2 Be 0.000 0.000 0.762
3 P 0.500 0.500 0.000
4 Ir 0.500 0.500 0.500



ErZrOs: optimized geometry, PBE-GGA.

N(E_F) ... 2.8 states/eV/f.u.
Energy above the most stable polymorph in this dataset ... 0.099 eV/atom
Size of the total moment ... 0.00 μB per cell
Space-group type ... No. 70
Formation enthalpy at 0 K ... -222.9 meV per atom
Crystal system ... orthorhombic
VASP energy ... -8.336 eV per atom

Lattice parameters (Å, degrees): 8.060 8.030 6.578 66.11 65.63 48.26
Sites, in units of the cell vectors:
1 Er 0.001 0.001 0.749
2 Er 0.251 0.251 0.999
3 Er 0.749 0.749 0.001
4 Er 0.999 0.999 0.251
5 Zr 0.252 0.252 0.498
6 Zr 0.498 0.498 0.252
7 Zr 0.502 0.502 0.748
8 Zr 0.748 0.748 0.502
9 Os 0.139 0.611 0.611
10 Os 0.389 0.861 0.861
11 Os 0.611 0.139 0.139
12 Os 0.861 0.389 0.389